No. 1
Computed, not measured: PrHo3Mg4 after structural relaxation at the PBE-GGA level of DFT.

Its magnetization is 0.00 μB per formula unit. As for the formation enthalpy at 0 K: -0.083 eV per atom.

The space group is P4/mmm (No. 123) and the conventional cell measures 5.371, 5.371 and 7.653 Å, with angles of 90.00, 90.00 and 90.00 degrees. Symmetry generates all atoms from Pr at (0.000, 0.000, 0.000), Ho at (0.000, 0.000, 0.500), Ho at (0.500, 0.500, 0.000), Ho at (0.500, 0.500, 0.500) and Mg at (0.000, 0.500, 0.256).

---

No. 2
Computed, not measured: Pr3Ho3Mg2 after structural relaxation at the PBE-GGA level of DFT.

Its magnetization is 0.00 μB per formula unit. As for the formation enthalpy at 0 K: 0.060 eV per atom.

The space group is Cmcm (No. 63) and the conventional cell measures 5.388, 11.855 and 15.823 Å, with angles of 90.00, 90.00 and 90.00 degrees. Symmetry generates all atoms from Pr at (0.000, 0.037, 0.105), Pr at (0.000, 0.250, 0.250), Ho at (0.000, 0.356, 0.035), Ho at (0.000, 0.476, 0.750) and Mg at (0.000, 0.233, 0.643).

---

No. 3
Computed, not measured: Pr3HoMg3 after structural relaxation at the PBE-GGA level of DFT.

The value obtained for the energy above the most stable polymorph in this dataset is 0.003 eV per atom. Its magnetization is 0.82 μB per formula unit. As for the formation enthalpy at 0 K: 0.068 eV per atom.

The space group is C2/m (No. 12) and the conventional cell measures 7.461, 10.836 and 10.783 Å, with angles of 90.00, 90.07 and 90.00 degrees. Symmetry generates all atoms from Pr at (0.000, 0.174, 0.000), Pr at (0.000, 0.224, 0.500), Pr at (0.002, 0.500, 0.825), Ho at (0.214, 0.500, 0.499), Mg at (0.000, 0.000, 0.262) and Mg at (0.250, 0.249, 0.748).